## Hg2TeAu2 (GGA-PBE)

Data for an optimized crystal structure of Hg2TeAu2.

Lattice parameters (Å, degrees): 8.570 8.570 3.143 90.00 90.00 90.00
Sites, in units of the cell vectors:
Hg 0.184 0.316 0.000
Hg 0.316 0.816 0.000
Hg 0.684 0.184 0.000
Hg 0.816 0.684 0.000
Te 0.000 0.000 0.000
Te 0.500 0.500 0.000
Au 0.114 0.614 0.500
Au 0.386 0.114 0.500
Au 0.614 0.886 0.500
Au 0.886 0.386 0.500

Summary:
Excess energy over the best structure of this formula in the dataset, eV/atom: 0.0326
Energy relative to the elements, uncorrected, eV per atom: 0.1571
SG: P4/mbm (127)

## Hg2Te2Au (GGA-PBE)

Data for an optimized crystal structure of Hg2Te2Au.

Lattice parameters (Å, degrees): 8.063 8.063 4.602 90.00 90.00 90.00
Sites, in units of the cell vectors:
Hg 0.121 0.379 0.000
Hg 0.379 0.879 0.000
Hg 0.621 0.121 0.000
Hg 0.879 0.621 0.000
Te 0.224 0.724 0.500
Te 0.276 0.224 0.500
Te 0.724 0.776 0.500
Te 0.776 0.276 0.500
Au 0.000 0.000 0.500
Au 0.500 0.500 0.500

Summary:
Excess energy over the best structure of this formula in the dataset, eV/atom: 0.0000
Energy relative to the elements, uncorrected, eV per atom: 0.0538
SG: P4/mbm (127)

## Hg2Te2Au (GGA-PBE)

Data for an optimized crystal structure of Hg2Te2Au.

Lattice parameters (Å, degrees): 8.908 8.908 8.908 152.72 152.72 38.97
Sites, in units of the cell vectors:
Hg 0.085 0.085 0.000
Hg 0.915 0.915 0.000
Te 0.250 0.750 0.500
Te 0.750 0.250 0.500
Au 0.500 0.500 0.000

Summary:
Excess energy over the best structure of this formula in the dataset, eV/atom: 0.2730
Energy relative to the elements, uncorrected, eV per atom: 0.3268
SG: I4/mmm (139)

## Hg2Te2Au (GGA-PBE)

Data for an optimized crystal structure of Hg2Te2Au.

Lattice parameters (Å, degrees): 7.749 7.749 4.359 90.00 90.00 90.00
Sites, in units of the cell vectors:
Hg 0.134 0.366 0.000
Hg 0.366 0.866 0.000
Hg 0.634 0.134 0.000
Hg 0.866 0.634 0.000
Te 0.185 0.685 0.500
Te 0.315 0.185 0.500
Te 0.685 0.815 0.500
Te 0.815 0.315 0.500
Au 0.000 0.000 0.000
Au 0.500 0.500 0.000

Summary:
Excess energy over the best structure of this formula in the dataset, eV/atom: 0.2596
Energy relative to the elements, uncorrected, eV per atom: 0.3134
SG: P4/mbm (127)

## Hg2TeAu (GGA-PBE)

Data for an optimized crystal structure of Hg2TeAu.

Lattice parameters (Å, degrees): 4.222 4.222 5.703 90.00 90.00 90.00
Sites, in units of the cell vectors:
Hg 0.000 0.000 0.244
Hg 0.000 0.000 0.756
Te 0.500 0.500 0.500
Au 0.500 0.500 0.000

Summary:
Energy relative to the elements, uncorrected, eV per atom: 0.1538
SG: P4/mmm (123)

## TiHg2TeAu (GGA-PBE)

Data for an optimized crystal structure of TiHg2TeAu.

Lattice parameters (Å, degrees): 5.643 5.643 5.279 90.00 90.00 90.00
Sites, in units of the cell vectors:
Ti 0.000 0.000 0.000
Hg 0.000 0.500 0.500
Hg 0.500 0.000 0.500
Te 0.000 0.000 0.500
Au 0.500 0.500 0.000

Summary:
Energy relative to the elements, uncorrected, eV per atom: 0.7223
SG: P4/mmm (123)

## Tl2HgTeAu (GGA-PBE)

Data for an optimized crystal structure of Tl2HgTeAu.

Lattice parameters (Å, degrees): 5.618 5.618 5.327 90.00 90.00 90.00
Sites, in units of the cell vectors:
Tl 0.000 0.500 0.000
Tl 0.500 0.000 0.000
Hg 0.000 0.000 0.500
Te 0.500 0.500 0.500
Au 0.000 0.000 0.000

Summary:
Energy relative to the elements, uncorrected, eV per atom: 0.0048
SG: P4/mmm (123)

## TlHgTe2Au (GGA-PBE)

Data for an optimized crystal structure of TlHgTe2Au.

Lattice parameters (Å, degrees): 5.777 7.438 8.220 90.00 101.12 90.00
Sites, in units of the cell vectors:
Tl 0.000 0.087 0.250
Tl 0.000 0.913 0.750
Hg 0.500 0.494 0.250
Hg 0.500 0.506 0.750
Te 0.246 0.296 0.964
Te 0.246 0.704 0.464
Te 0.754 0.296 0.536
Te 0.754 0.704 0.036
Au 0.500 0.000 0.000
Au 0.500 0.000 0.500

Summary:
Energy relative to the elements, uncorrected, eV per atom: -0.1645
SG: P2/c (13)